Entry 1:
A relaxed LiPr2Y3Se6 crystal, computed with PBE-GGA.

Volume   25.135 Å³ per atom
Formation energy (no corrections)   -172 kJ/mol of atoms

CIF file:
```
data_LiPr2Y3Se6
_space_group_name_H-M_alt 'C 1 2/m 1'
_space_group_IT_number 12
_cell_length_a 18.102
_cell_length_b 4.125
_cell_length_c 8.315
_cell_angle_alpha 90.00
_cell_angle_beta 103.66
_cell_angle_gamma 90.00
loop_
_space_group_symop_operation_xyz
'x,y,z'
'-x,-y,-z'
'-x,y,-z'
'x,-y,z'
'x+1/2,y+1/2,z'
'-x+1/2,-y+1/2,-z'
'-x+1/2,y+1/2,-z'
'x+1/2,-y+1/2,z'
loop_
_atom_site_label
_atom_site_type_symbol
_atom_site_fract_x
_atom_site_fract_y
_atom_site_fract_z
_atom_site_occupancy
Li1 Li 0.000 0.000 0.000 1
Pr1 Pr 0.169 0.500 0.340 1
Y1 Y 0.000 0.000 0.500 1
Y2 Y 0.168 0.500 0.830 1
Se1 Se 0.003 0.500 0.754 1
Se2 Se 0.161 0.000 0.593 1
Se3 Se 0.164 0.000 0.071 1
```

Entry 2:
A relaxed Li2PrYSe4 crystal, computed with PBE-GGA.

Volume   24.414 Å³ per atom
Formation energy (no corrections)   -161 kJ/mol of atoms

CIF file:
```
data_Li2PrYSe4
_space_group_name_H-M_alt 'P 1 2/m 1'
_space_group_IT_number 10
_cell_length_a 6.949
_cell_length_b 4.157
_cell_length_c 7.201
_cell_angle_alpha 90.00
_cell_angle_beta 110.15
_cell_angle_gamma 90.00
loop_
_space_group_symop_operation_xyz
'x,y,z'
'-x,-y,-z'
'-x,y,-z'
'x,-y,z'
loop_
_atom_site_label
_atom_site_type_symbol
_atom_site_fract_x
_atom_site_fract_y
_atom_site_fract_z
_atom_site_occupancy
Li1 Li 0.000 0.000 0.000 1
Li2 Li 0.000 0.500 0.500 1
Pr1 Pr 0.500 0.000 0.500 1
Y1 Y 0.500 0.500 0.000 1
Se1 Se 0.241 0.500 0.238 1
Se2 Se 0.245 0.000 0.757 1
```

Entry 3:
A relaxed LiPr3Y2Se6 crystal, computed with PBE-GGA.

Volume   25.410 Å³ per atom
Formation energy (no corrections)   -172 kJ/mol of atoms

CIF file:
```
data_LiPr3Y2Se6
_space_group_name_H-M_alt 'C 1 2/m 1'
_space_group_IT_number 12
_cell_length_a 7.152
_cell_length_b 12.419
_cell_length_c 7.274
_cell_angle_alpha 90.00
_cell_angle_beta 109.28
_cell_angle_gamma 90.00
loop_
_space_group_symop_operation_xyz
'x,y,z'
'-x,-y,-z'
'-x,y,-z'
'x,-y,z'
'x+1/2,y+1/2,z'
'-x+1/2,-y+1/2,-z'
'-x+1/2,y+1/2,-z'
'x+1/2,-y+1/2,z'
loop_
_atom_site_label
_atom_site_type_symbol
_atom_site_fract_x
_atom_site_fract_y
_atom_site_fract_z
_atom_site_occupancy
Li1 Li 0.000 0.000 0.000 1
Pr1 Pr 0.000 0.166 0.500 1
Pr2 Pr 0.000 0.500 0.500 1
Y1 Y 0.000 0.335 0.000 1
Se1 Se 0.240 0.163 0.231 1
Se2 Se 0.248 0.000 0.771 1
```